Entry 1:
The following is a DFT calculation (PBE) of a geometry-optimized NaTl6Pb structure.

Structure (POSCAR):
```
NaTl6Pb
1.0
5.659 3.267 2.236
-5.659 3.267 2.236
0.000 -6.534 2.236
Na Tl Pb
1 6 1
Direct
0.000 0.000 0.000
0.247 0.749 0.749
0.251 0.251 0.753
0.251 0.753 0.251
0.749 0.247 0.749
0.749 0.749 0.247
0.753 0.251 0.251
0.500 0.500 0.500
```

Calculated values
energy of formation: -2 meV per atom
excess energy over the best structure of this formula in the dataset: 30 meV per atom
total magnetization: 0.000 μB per cell

=====

Entry 2:
The following is a DFT calculation (PBE) of a geometry-optimized SnGeRh3 structure.

Structure (POSCAR):
```
SnGeRh3
1.0
4.546 0.000 0.000
0.000 4.546 0.000
0.000 0.000 4.546
Sn Ge Rh
1 1 3
Direct
0.000 0.000 0.000
0.500 0.500 0.500
0.000 0.500 0.500
0.500 0.000 0.500
0.500 0.500 0.000
```

Calculated values
energy of formation: 261 meV per atom
excess energy over the best structure of this formula in the dataset: 576 meV per atom
total magnetization: 0.000 μB per cell

=====

Entry 3:
The following is a DFT calculation (PBE) of a geometry-optimized Tb5Ga2Ge structure.

Structure (POSCAR):
```
Tb5Ga2Ge
1.0
-3.865 3.865 6.855
3.865 -3.865 6.855
3.865 3.865 -6.855
Tb Ga Ge
10 4 2
Direct
0.000 0.000 0.000
0.020 0.520 0.836
0.184 0.020 0.500
0.316 0.816 0.836
0.480 0.316 0.500
0.500 0.500 0.000
0.520 0.684 0.500
0.684 0.184 0.164
0.816 0.980 0.500
0.980 0.480 0.164
0.124 0.376 0.500
0.376 0.876 0.251
0.624 0.124 0.749
0.876 0.624 0.500
0.250 0.250 0.000
0.750 0.750 0.000
```

Calculated values
energy of formation: -566 meV per atom
total magnetization: 0.000 μB per cell

=====

Entry 4:
The following is a DFT calculation (PBE) of a geometry-optimized SmTmZrSc structure.

Structure (POSCAR):
```
SmTmZrSc
1.0
0.000 3.792 3.792
3.792 0.000 3.792
3.792 3.792 0.000
Sm Tm Zr Sc
1 1 1 1
Direct
0.000 0.000 0.000
0.250 0.250 0.250
0.500 0.500 0.500
0.750 0.750 0.750
```

Calculated values
energy of formation: 183 meV per atom
total magnetization: 0.871 μB per cell